Material: AgPPb
Method: DFT, PBE-GGA
State: optimized geometry

Properties
Calculated density   8.54 g/cm3
Total energy   -3.655 eV/atom

Cell lengths 5.0405, 5.0405, 6.1280 Å; angles 90.00, 90.00, 59.82 degrees
Fractional coordinates of all 6 atoms:
Ag  0.0000  0.0000  0.0000
Ag  0.0000  0.0000  0.5000
P  0.6662  0.6662  0.2500
P  0.3338  0.3338  0.7500
Pb  0.3334  0.3334  0.2500
Pb  0.6666  0.6666  0.7500

Material: Li2ScAl2Ag2Au
Method: DFT, PBE-GGA
State: optimized geometry

Properties
Calculated density   6.47 g/cm3
Total energy   -3.582 eV/atom
Total magnetization   0.00 μB per atom

Cell lengths 4.5870, 4.5870, 6.4058 Å; angles 90.00, 90.00, 90.00 degrees
Fractional coordinates of all 8 atoms:
Ag  0.5000  0.0000  0.2591
Ag  0.0000  0.5000  0.7409
Al  0.0000  0.0000  0.0000
Al  0.5000  0.5000  0.5000
Au  0.5000  0.5000  0.0000
Li  0.0000  0.5000  0.2178
Li  0.5000  0.0000  0.7822
Sc  0.0000  0.0000  0.5000

Material: CoH18OsC6S6N12
Method: DFT, PBE-GGA
State: optimized geometry

Properties
Calculated density   2.35 g/cm3
Total energy   -5.983 eV/atom
Total magnetization   0.02 μB per atom

Cell lengths 7.9984, 7.9984, 7.9984 Å; angles 97.92, 97.92, 97.92 degrees
Fractional coordinates of all 44 atoms:
C  0.6694  0.2007  0.0096
C  0.0096  0.6694  0.2007
C  0.7993  0.9904  0.3306
C  0.2007  0.0096  0.6694
C  0.9904  0.3306  0.7993
C  0.3306  0.7993  0.9904
Co  0.5000  0.5000  0.5000
H  0.4783  0.4634  0.1788
H  0.2916  0.5087  0.2301
H  0.4562  0.6607  0.2524
H  0.5087  0.2301  0.2916
H  0.7476  0.5438  0.3393
H  0.6607  0.2524  0.4562
H  0.1788  0.4783  0.4634
H  0.4634  0.1788  0.4783
H  0.7699  0.7084  0.4913
H  0.2301  0.2916  0.5087
H  0.5366  0.8212  0.5217
H  0.8212  0.5217  0.5366
H  0.3393  0.7476  0.5438
H  0.2524  0.4562  0.6607
H  0.4913  0.7699  0.7084
H  0.5438  0.3393  0.7476
H  0.7084  0.4913  0.7699
H  0.5217  0.5366  0.8212
N  0.6359  0.3286  0.0806
N  0.4220  0.5354  0.2663
N  0.0806  0.6359  0.3286
N  0.6714  0.9194  0.3641
N  0.5354  0.2663  0.4220
N  0.7337  0.5780  0.4646
N  0.2663  0.4220  0.5354
N  0.4646  0.7337  0.5780
N  0.3286  0.0806  0.6359
N  0.9194  0.3641  0.6714
N  0.5780  0.4646  0.7337
N  0.3641  0.6714  0.9194
Os  0.0000  0.0000  0.0000
S  0.9039  0.7097  0.0224
S  0.2903  0.9776  0.0961
S  0.9776  0.0961  0.2903
S  0.0224  0.9039  0.7097
S  0.7097  0.0224  0.9039
S  0.0961  0.2903  0.9776

Material: Tm2Fe17
Method: DFT, PBE-GGA
State: optimized geometry

Properties
Calculated density   8.67 g/cm3
Formation enthalpy at 0 K   -26 meV/atom
Total magnetization   1.91 μB per atom

Cell lengths 8.3226, 8.3216, 8.2176 Å; angles 90.00, 90.00, 120.00 degrees
Fractional coordinates of all 38 atoms:
Fe  0.5000  0.0000  0.0000
Fe  0.0000  0.5000  0.0000
Fe  0.5000  0.5000  0.0000
Fe  0.3309  0.1654  0.0138
Fe  0.8345  0.1654  0.0138
Fe  0.8346  0.6691  0.0138
Fe  0.3333  0.6667  0.1076
Fe  0.0341  0.3633  0.2500
Fe  0.3292  0.3633  0.2500
Fe  0.0341  0.6708  0.2500
Fe  0.6367  0.6708  0.2500
Fe  0.3292  0.9659  0.2500
Fe  0.6367  0.9659  0.2500
Fe  0.3333  0.6667  0.3924
Fe  0.8346  0.6691  0.4862
Fe  0.3309  0.1654  0.4862
Fe  0.8345  0.1654  0.4862
Fe  0.5000  0.0000  0.5000
Fe  0.0000  0.5000  0.5000
Fe  0.5000  0.5000  0.5000
Fe  0.1655  0.8346  0.5138
Fe  0.6691  0.8346  0.5138
Fe  0.1654  0.3309  0.5138
Fe  0.6667  0.3333  0.6076
Fe  0.3633  0.0341  0.7500
Fe  0.6708  0.0341  0.7500
Fe  0.3633  0.3292  0.7500
Fe  0.9659  0.3292  0.7500
Fe  0.6708  0.6367  0.7500
Fe  0.9659  0.6367  0.7500
Fe  0.6667  0.3333  0.8924
Fe  0.1654  0.3309  0.9862
Fe  0.1655  0.8346  0.9862
Fe  0.6691  0.8346  0.9862
Tm  0.0000  0.0000  0.2500
Tm  0.6666  0.3333  0.2500
Tm  0.0000  0.0000  0.7500
Tm  0.3334  0.6667  0.7500

Material: Rb2TbGdO4
Method: DFT, PBE-GGA
State: optimized geometry

Properties
Calculated density   6.65 g/cm3
Total energy   -6.548 eV/atom
Total magnetization   0.00 μB per atom

Cell lengths 3.5051, 3.5051, 12.9261 Å; angles 90.00, 90.00, 120.00 degrees
Fractional coordinates of all 8 atoms:
Gd  0.0000  0.0000  0.0000
O  0.3333  0.6667  0.0904
O  0.3333  0.6667  0.4108
O  0.6667  0.3333  0.5892
O  0.6667  0.3333  0.9096
Rb  0.6667  0.3333  0.2503
Rb  0.3333  0.6667  0.7497
Tb  0.0000  0.0000  0.5000

Material: TbSc2In3PtAu2
Method: DFT, PBE-GGA
State: optimized geometry

Properties
Calculated density   10.28 g/cm3
Total energy   -4.996 eV/atom
Total magnetization   0.00 μB per atom

Cell lengths 3.7358, 7.6936, 7.6936 Å; angles 120.27, 90.00, 90.00 degrees
Fractional coordinates of all 9 atoms:
Au  0.5000  0.6715  0.3310
Au  0.5000  0.3310  0.6715
In  0.5000  0.9958  0.2633
In  0.5000  0.7377  0.7377
In  0.5000  0.2633  0.9958
Pt  0.0000  0.9969  0.9969
Sc  0.0000  0.6054  0.0002
Sc  0.0000  0.0002  0.6054
Tb  0.0000  0.3983  0.3983

Material: TlReGe
Method: DFT, PBE-GGA
State: optimized geometry

Properties
Calculated density   12.25 g/cm3
Total energy   -5.538 eV/atom
Total magnetization   0.00 μB per atom

Cell lengths 4.4617, 4.4617, 4.4617 Å; angles 60.00, 60.00, 60.00 degrees
Fractional coordinates of all 3 atoms:
Ge  0.2500  0.2500  0.2500
Re  0.0000  0.0000  0.0000
Tl  0.7500  0.7500  0.7500

Material: BeCdFeGe
Method: DFT, PBE-GGA
State: optimized geometry

Properties
Calculated density   7.25 g/cm3
Total energy   -3.881 eV/atom
Total magnetization   0.43 μB per atom

Cell lengths 4.3266, 4.3266, 4.3266 Å; angles 60.00, 60.00, 60.00 degrees
Fractional coordinates of all 4 atoms:
Be  0.5000  0.5000  0.5000
Cd  0.2500  0.2500  0.2500
Fe  0.7500  0.7500  0.7500
Ge  0.0000  0.0000  0.0000

Material: PaBeGa
Method: DFT, PBE-GGA
State: optimized geometry

Properties
Calculated density   7.44 g/cm3
Total energy   -4.652 eV/atom
Total magnetization   0.00 μB per atom

Cell lengths 4.6065, 4.6065, 4.6065 Å; angles 60.00, 60.00, 60.00 degrees
Fractional coordinates of all 3 atoms:
Be  0.5000  0.5000  0.5000
Ga  0.0000  0.0000  0.0000
Pa  0.2500  0.2500  0.2500

Material: LuAlCdFe
Method: DFT, PBE-GGA
State: optimized geometry

Properties
Calculated density   8.43 g/cm3
Total energy   -4.355 eV/atom
Total magnetization   0.50 μB per atom

Cell lengths 4.6896, 4.6896, 4.6896 Å; angles 60.00, 60.00, 60.00 degrees
Fractional coordinates of all 4 atoms:
Al  0.0000  0.0000  0.0000
Cd  0.2500  0.2500  0.2500
Fe  0.7500  0.7500  0.7500
Lu  0.5000  0.5000  0.5000

Material: YAlMo
Method: DFT, PBE-GGA
State: optimized geometry

Properties
Calculated density   4.52 g/cm3
Total energy   -5.816 eV/atom
Total magnetization   0.95 μB per atom

Cell lengths 4.7932, 4.7932, 4.7932 Å; angles 60.00, 60.00, 60.00 degrees
Fractional coordinates of all 3 atoms:
Al  0.2500  0.2500  0.2500
Mo  0.7500  0.7500  0.7500
Y  0.0000  0.0000  0.0000

Material: NdUTl
Method: DFT, PBE-GGA
State: optimized geometry

Properties
Calculated density   9.47 g/cm3
Total energy   -5.433 eV/atom
Total magnetization   1.35 μB per atom

Cell lengths 5.2592, 5.2592, 5.2592 Å; angles 60.00, 60.00, 60.00 degrees
Fractional coordinates of all 3 atoms:
Nd  0.2500  0.2500  0.2500
Tl  0.0000  0.0000  0.0000
U  0.7500  0.7500  0.7500

Question: The highest calculated density belongs to which entry?
Answer: TlReGe

Question: Number 2 is which compound?
Answer: Li2ScAl2Ag2Au

Question: What is the formula in the first record?
Answer: AgPPb

Please write out number 3 again, unchanged.
Material: CoH18OsC6S6N12
Method: DFT, PBE-GGA
State: optimized geometry

Properties
Calculated density   2.35 g/cm3
Total energy   -5.983 eV/atom
Total magnetization   0.02 μB per atom

Cell lengths 7.9984, 7.9984, 7.9984 Å; angles 97.92, 97.92, 97.92 degrees
Fractional coordinates of all 44 atoms:
C  0.6694  0.2007  0.0096
C  0.0096  0.6694  0.2007
C  0.7993  0.9904  0.3306
C  0.2007  0.0096  0.6694
C  0.9904  0.3306  0.7993
C  0.3306  0.7993  0.9904
Co  0.5000  0.5000  0.5000
H  0.4783  0.4634  0.1788
H  0.2916  0.5087  0.2301
H  0.4562  0.6607  0.2524
H  0.5087  0.2301  0.2916
H  0.7476  0.5438  0.3393
H  0.6607  0.2524  0.4562
H  0.1788  0.4783  0.4634
H  0.4634  0.1788  0.4783
H  0.7699  0.7084  0.4913
H  0.2301  0.2916  0.5087
H  0.5366  0.8212  0.5217
H  0.8212  0.5217  0.5366
H  0.3393  0.7476  0.5438
H  0.2524  0.4562  0.6607
H  0.4913  0.7699  0.7084
H  0.5438  0.3393  0.7476
H  0.7084  0.4913  0.7699
H  0.5217  0.5366  0.8212
N  0.6359  0.3286  0.0806
N  0.4220  0.5354  0.2663
N  0.0806  0.6359  0.3286
N  0.6714  0.9194  0.3641
N  0.5354  0.2663  0.4220
N  0.7337  0.5780  0.4646
N  0.2663  0.4220  0.5354
N  0.4646  0.7337  0.5780
N  0.3286  0.0806  0.6359
N  0.9194  0.3641  0.6714
N  0.5780  0.4646  0.7337
N  0.3641  0.6714  0.9194
Os  0.0000  0.0000  0.0000
S  0.9039  0.7097  0.0224
S  0.2903  0.9776  0.0961
S  0.9776  0.0961  0.2903
S  0.0224  0.9039  0.7097
S  0.7097  0.0224  0.9039
S  0.0961  0.2903  0.9776